No. 1
# LaNd2Tm4 GGA-PBE optimized geometry
data_LaNd2Tm4
_symmetry_space_group_name_H-M 'P 1'
_symmetry_Int_Tables_number 1
_cell_length_a 6.852
_cell_length_b 6.852
_cell_length_c 6.852
_cell_angle_alpha 122.82
_cell_angle_beta 103.24
_cell_angle_gamma 103.24
loop_
_symmetry_equiv_pos_as_xyz
'x,y,z'
loop_
_atom_site_label
_atom_site_type_symbol
_atom_site_fract_x
_atom_site_fract_y
_atom_site_fract_z
Tm1 Tm 0.000 0.304 0.696
Tm2 Tm 0.000 0.696 0.304
Tm3 Tm 0.608 0.304 0.304
Tm4 Tm 0.392 0.696 0.696
Nd1 Nd 0.500 0.250 0.750
Nd2 Nd 0.500 0.750 0.250
La1 La 0.000 0.000 0.000
# ΔE_f   1.6 eV per formula unit
# Energy above the lowest structure with this stoichiometry   0.0 meV/atom

---

No. 2
# PaCl3F3 GGA-PBE optimized geometry
data_PaCl3F3
_symmetry_space_group_name_H-M 'P 1'
_symmetry_Int_Tables_number 1
_cell_length_a 6.586
_cell_length_b 6.011
_cell_length_c 6.011
_cell_angle_alpha 107.45
_cell_angle_beta 111.42
_cell_angle_gamma 111.42
loop_
_symmetry_equiv_pos_as_xyz
'x,y,z'
loop_
_atom_site_label
_atom_site_type_symbol
_atom_site_fract_x
_atom_site_fract_y
_atom_site_fract_z
Pa1 Pa 0.525 0.000 0.000
Cl1 Cl 0.579 0.660 0.660
Cl2 Cl 0.919 0.000 0.340
Cl3 Cl 0.919 0.340 0.000
F1 F 0.144 0.700 0.700
F2 F 0.444 0.000 0.300
F3 F 0.444 0.300 0.000
# Formation energy without anion corrections   -2.324 eV/atom

---

No. 3
# In4BiPb6 GGA-PBE optimized geometry
data_In4BiPb6
_symmetry_space_group_name_H-M 'P 1'
_symmetry_Int_Tables_number 1
_cell_length_a 8.368
_cell_length_b 8.368
_cell_length_c 9.809
_cell_angle_alpha 90.00
_cell_angle_beta 90.00
_cell_angle_gamma 90.00
loop_
_symmetry_equiv_pos_as_xyz
'x,y,z'
loop_
_atom_site_label
_atom_site_type_symbol
_atom_site_fract_x
_atom_site_fract_y
_atom_site_fract_z
In1 In 0.359 0.141 0.250
In2 In 0.141 0.641 0.750
In3 In 0.641 0.859 0.750
In4 In 0.859 0.359 0.750
In5 In 0.359 0.141 0.750
In6 In 0.141 0.641 0.250
In7 In 0.859 0.359 0.250
In8 In 0.641 0.859 0.250
Bi1 Bi 0.500 0.500 0.000
Bi2 Bi 0.000 0.000 0.500
Pb1 Pb 0.365 0.846 0.500
Pb2 Pb 0.865 0.654 0.000
Pb3 Pb 0.654 0.135 0.000
Pb4 Pb 0.154 0.365 0.500
Pb5 Pb 0.000 0.000 0.169
Pb6 Pb 0.500 0.500 0.331
Pb7 Pb 0.346 0.865 0.000
Pb8 Pb 0.000 0.000 0.831
Pb9 Pb 0.135 0.346 0.000
Pb10 Pb 0.500 0.500 0.669
Pb11 Pb 0.846 0.635 0.500
Pb12 Pb 0.635 0.154 0.500
# ΔE_f   0.8 eV per formula unit
# Energy above the lowest structure with this stoichiometry   0.0 meV/atom

---

No. 4
# AlTlI4 GGA-PBE optimized geometry
data_AlTlI4
_symmetry_space_group_name_H-M 'P 1'
_symmetry_Int_Tables_number 1
_cell_length_a 8.470
_cell_length_b 8.470
_cell_length_c 7.456
_cell_angle_alpha 124.61
_cell_angle_beta 124.61
_cell_angle_gamma 90.00
loop_
_symmetry_equiv_pos_as_xyz
'x,y,z'
loop_
_atom_site_label
_atom_site_type_symbol
_atom_site_fract_x
_atom_site_fract_y
_atom_site_fract_z
Al1 Al 0.500 0.500 0.000
Tl1 Tl 0.750 0.250 0.500
I1 I 0.454 0.809 0.317
I2 I 0.863 0.509 0.317
I3 I 0.191 0.137 0.683
I4 I 0.491 0.546 0.683
# Energy above the lowest structure with this stoichiometry   22.7 meV/atom
# Formation energy without anion corrections   -0.680 eV/atom